BaTl2V2O6: optimized geometry, PBE+U.

It has space group R-3m (No. 166, hexagonal axes), with a = 6.3366 Å, b = 6.3366 Å, c = 20.6211 Å, α = 90.00°, β = 90.00° and γ = 120.00°. The asymmetric unit holds Ba at (0.0000, 0.0000, 0.0000), Tl at (0.0000, 0.0000, 0.1902), V at (0.0000, 0.0000, 0.4358) and O at (0.0226, 0.5113, 0.2434).

The theoretical density comes out at 5.169 g/cm3. The value obtained for the raw total energy is -209.96 eV per cell. Its crystal system is trigonal. Its magnetization is 0.2 μB/cell. The value obtained for the density of states at the Fermi level is 0.00 states/eV/cell.